1.
Below is a geometry-optimized Fe3PtW structure, with properties calculated at the GGA-PBE level.

## Properties
SG   Pm-3m
Offset from the most stable computed form   164.5 meV/atom
DOS at the Fermi energy   6.9 states/eV/f.u.

The structure in CIF format:
```
data_Fe3PtW
_cell_length_a 4.5900
_cell_length_b 4.5900
_cell_length_c 4.5900
_cell_angle_alpha 90.00
_cell_angle_beta 90.00
_cell_angle_gamma 90.00
_symmetry_space_group_name_H-M 'P 1'
_symmetry_Int_Tables_number 1
_symmetry_space_group_name_Hall 'P 1'
loop_
_atom_site_label
_atom_site_type_symbol
_atom_site_fract_x
_atom_site_fract_y
_atom_site_fract_z
W1 W 0.5000 0.5000 0.5000
Fe1 Fe 0.5000 0.0000 0.0000
Fe2 Fe 0.0000 0.0000 0.5000
Fe3 Fe 0.0000 0.5000 0.0000
Pt1 Pt 0.0000 0.0000 0.0000
```


2.
Below is a geometry-optimized FePt2W structure, with properties calculated at the GGA-PBE level.

## Properties
SG   Cm
Final energy   -34.21 eV per cell
DOS at the Fermi energy   3.1 states/eV/f.u.

The structure in CIF format:
```
data_FePt2W
_cell_length_a 4.7592
_cell_length_b 4.7592
_cell_length_c 4.8335
_cell_angle_alpha 80.30
_cell_angle_beta 80.30
_cell_angle_gamma 33.52
_symmetry_space_group_name_H-M 'P 1'
_symmetry_Int_Tables_number 1
_symmetry_space_group_name_Hall 'P 1'
loop_
_atom_site_label
_atom_site_type_symbol
_atom_site_fract_x
_atom_site_fract_y
_atom_site_fract_z
W1 W 0.4960 0.4960 0.4902
Pt1 Pt 0.2467 0.2467 0.2703
Pt2 Pt 0.0048 0.0048 0.9781
Fe1 Fe 0.7525 0.7525 0.7614
```


3.
Below is a geometry-optimized Fe2PtW structure, with properties calculated at the GGA-PBE level.

## Properties
SG   C2/m
Offset from the most stable computed form   105.7 meV/atom
DOS at the Fermi energy   3.2 states/eV/f.u.

The structure in CIF format:
```
data_Fe2PtW
_cell_length_a 4.6011
_cell_length_b 4.6011
_cell_length_c 4.7896
_cell_angle_alpha 81.54
_cell_angle_beta 81.54
_cell_angle_gamma 33.84
_symmetry_space_group_name_H-M 'P 1'
_symmetry_Int_Tables_number 1
_symmetry_space_group_name_Hall 'P 1'
loop_
_atom_site_label
_atom_site_type_symbol
_atom_site_fract_x
_atom_site_fract_y
_atom_site_fract_z
Fe1 Fe 0.4965 0.4965 0.4943
Fe2 Fe 0.0035 0.0035 0.0057
Pt1 Pt 0.7500 0.7500 0.7500
W1 W 0.2500 0.2500 0.2500
```


4.
Below is a geometry-optimized Fe2PtW structure, with properties calculated at the GGA-PBE level.

## Properties
SG   P4mm
Offset from the most stable computed form   37.7 meV/atom
DOS at the Fermi energy   2.5 states/eV/f.u.

The structure in CIF format:
```
data_Fe2PtW
_cell_length_a 2.8071
_cell_length_b 2.8071
_cell_length_c 6.9398
_cell_angle_alpha 90.00
_cell_angle_beta 90.00
_cell_angle_gamma 90.00
_symmetry_space_group_name_H-M 'P 1'
_symmetry_Int_Tables_number 1
_symmetry_space_group_name_Hall 'P 1'
loop_
_atom_site_label
_atom_site_type_symbol
_atom_site_fract_x
_atom_site_fract_y
_atom_site_fract_z
W1 W 0.5000 0.5000 0.7756
Pt1 Pt 0.0000 0.0000 0.4848
Fe1 Fe 0.0000 0.0000 0.0182
Fe2 Fe 0.5000 0.5000 0.2214
```


5.
Below is a geometry-optimized Fe2Pt6W structure, with properties calculated at the GGA-PBE level.

## Properties
SG   C2/c
Final energy   -133.49 eV per cell
DOS at the Fermi energy   5.6 states/eV/f.u.

The structure in CIF format:
```
data_Fe2Pt6W
_cell_length_a 5.0120
_cell_length_b 7.5064
_cell_length_c 7.5064
_cell_angle_alpha 97.83
_cell_angle_beta 95.09
_cell_angle_gamma 95.09
_symmetry_space_group_name_H-M 'P 1'
_symmetry_Int_Tables_number 1
_symmetry_space_group_name_Hall 'P 1'
loop_
_atom_site_label
_atom_site_type_symbol
_atom_site_fract_x
_atom_site_fract_y
_atom_site_fract_z
Pt1 Pt 0.8186 0.4191 0.0947
Pt2 Pt 0.7906 0.0521 0.2371
Pt3 Pt 0.3186 0.0947 0.4191
Pt4 Pt 0.6814 0.9053 0.5809
Pt5 Pt 0.0189 0.7516 0.3556
Pt6 Pt 0.4811 0.6444 0.2484
Pt7 Pt 0.1814 0.5809 0.9053
Pt8 Pt 0.5189 0.3556 0.7516
Pt9 Pt 0.2906 0.2371 0.0521
Pt10 Pt 0.2094 0.9479 0.7629
Pt11 Pt 0.7094 0.7629 0.9479
Pt12 Pt 0.9811 0.2484 0.6444
Fe1 Fe 0.3572 0.6309 0.5971
Fe2 Fe 0.1428 0.4029 0.3691
Fe3 Fe 0.8572 0.5971 0.6309
Fe4 Fe 0.6428 0.3691 0.4029
W1 W 0.2500 0.8979 0.1021
W2 W 0.7500 0.1021 0.8979
```


6.
Below is a geometry-optimized Fe3Pt12W structure, with properties calculated at the GGA-PBE level.

## Properties
SG   P4/mmm
Final energy   -114.25 eV per cell
DOS at the Fermi energy   16.4 states/eV/f.u.

The structure in CIF format:
```
data_Fe3Pt12W
_cell_length_a 3.9369
_cell_length_b 3.9369
_cell_length_c 15.6928
_cell_angle_alpha 90.00
_cell_angle_beta 90.00
_cell_angle_gamma 90.00
_symmetry_space_group_name_H-M 'P 1'
_symmetry_Int_Tables_number 1
_symmetry_space_group_name_Hall 'P 1'
loop_
_atom_site_label
_atom_site_type_symbol
_atom_site_fract_x
_atom_site_fract_y
_atom_site_fract_z
Pt1 Pt 0.5000 0.0000 0.1244
Pt2 Pt 0.0000 0.5000 0.1244
Pt3 Pt 0.5000 0.0000 0.8756
Pt4 Pt 0.5000 0.5000 0.7497
Pt5 Pt 0.5000 0.5000 0.0000
Pt6 Pt 0.5000 0.0000 0.3754
Pt7 Pt 0.5000 0.0000 0.6246
Pt8 Pt 0.5000 0.5000 0.5000
Pt9 Pt 0.0000 0.5000 0.6246
Pt10 Pt 0.0000 0.5000 0.8756
Pt11 Pt 0.5000 0.5000 0.2503
Pt12 Pt 0.0000 0.5000 0.3754
Fe1 Fe 0.0000 0.0000 0.2561
Fe2 Fe 0.0000 0.0000 0.5000
Fe3 Fe 0.0000 0.0000 0.7439
W1 W 0.0000 0.0000 0.0000
```


7.
Below is a geometry-optimized FePt2W structure, with properties calculated at the GGA-PBE level.

## Properties
SG   P4mm
Final energy   -33.66 eV per cell
DOS at the Fermi energy   4.1 states/eV/f.u.

The structure in CIF format:
```
data_FePt2W
_cell_length_a 3.2811
_cell_length_b 3.2811
_cell_length_c 5.5578
_cell_angle_alpha 90.00
_cell_angle_beta 90.00
_cell_angle_gamma 90.00
_symmetry_space_group_name_H-M 'P 1'
_symmetry_Int_Tables_number 1
_symmetry_space_group_name_Hall 'P 1'
loop_
_atom_site_label
_atom_site_type_symbol
_atom_site_fract_x
_atom_site_fract_y
_atom_site_fract_z
Pt1 Pt 0.5000 0.5000 0.2570
Pt2 Pt 0.0000 0.0000 0.9778
W1 W 0.0000 0.0000 0.5070
Fe1 Fe 0.5000 0.5000 0.7581
```


8.
Below is a geometry-optimized Fe2PtW structure, with properties calculated at the GGA-PBE level.

## Properties
SG   Pmm2
Offset from the most stable computed form   52.6 meV/atom
DOS at the Fermi energy   3.2 states/eV/f.u.

The structure in CIF format:
```
data_Fe2PtW
_cell_length_a 2.7077
_cell_length_b 3.7113
_cell_length_c 5.3897
_cell_angle_alpha 90.00
_cell_angle_beta 90.00
_cell_angle_gamma 90.00
_symmetry_space_group_name_H-M 'P 1'
_symmetry_Int_Tables_number 1
_symmetry_space_group_name_Hall 'P 1'
loop_
_atom_site_label
_atom_site_type_symbol
_atom_site_fract_x
_atom_site_fract_y
_atom_site_fract_z
W1 W 0.5000 0.5000 0.7747
Pt1 Pt 0.0000 0.0000 0.4903
Fe1 Fe 0.5000 0.5000 0.2254
Fe2 Fe 0.0000 0.0000 0.0097
```


- Among the records above, which one has the highest DOS at the Fermi energy?
  Fe3Pt12W


- Which value of DOS at the Fermi energy does entry 8 give?
  3.2 states/eV/f.u.


- Among the records above, which one has the highest DOS at the Fermi energy?
  Fe3Pt12W